6
Lattice="1.3485 -7.0266 0.0000 1.3485 7.0266 0.0000 0.0000 0.0000 4.2832" Properties=species:S:1:pos:R:3 comment="IrRu2 (meta-GGA SCAN, single point on PBEsol structure)" vol_a3_per_fu=41 delta_e_f_ev_per_atom=-0.08 dos_at_fermi_per_ev_atom=0.723 pbc="T T T"
Ir 1.3485 5.4607 3.2124
Ir 1.3485 -5.4607 1.0708
Ru 1.3485 3.9103 1.0708
Ru 1.3485 0.7915 3.2124
Ru 1.3485 -0.7915 1.0708
Ru 1.3485 -3.9103 3.2124